Entry 1:
LiGeF4 (GGA-PBE, relaxed); density of states at the Fermi level = 0.0 states/eV per cell; energy relative to the elements, uncorrected = -2.467 eV/atom
1.0
5.149 0.000 0.000
0.000 9.184 0.000
-4.832 0.000 7.032
Li Ge F
4 4 16
direct
0.046 0.130 0.405
0.046 0.370 0.905
0.954 0.630 0.095
0.954 0.870 0.595
0.421 0.600 0.567
0.421 0.900 0.067
0.579 0.100 0.933
0.579 0.400 0.433
0.018 0.593 0.345
0.018 0.907 0.845
0.241 0.703 0.660
0.241 0.797 0.160
0.269 0.044 0.677
0.269 0.456 0.177
0.405 0.245 0.463
0.405 0.255 0.963
0.595 0.745 0.037
0.595 0.755 0.537
0.731 0.544 0.823
0.731 0.956 0.323
0.759 0.203 0.840
0.759 0.297 0.340
0.982 0.093 0.155
0.982 0.407 0.655


Entry 2:
Tm2ThPb (GGA-PBE, relaxed); density of states at the Fermi level = 5.5 states/eV per cell; VASP energy = -5.1384 eV per atom
1.0
1.774 1.024 10.960
-1.774 1.024 10.960
0.000 -2.049 10.960
Tm Th Pb
2 1 1
direct
0.000 0.000 0.000
0.175 0.175 0.175
0.421 0.421 0.421
0.587 0.587 0.587


Entry 3:
NaBiO2 (GGA-PBE, relaxed); density of states at the Fermi level = 0.0 states/eV per cell; energy relative to the elements, uncorrected = -1.371 eV/atom
1.0
5.105 0.000 0.000
0.000 5.138 0.000
-4.912 0.000 9.705
Na Bi O
4 4 8
direct
0.127 0.241 0.126
0.127 0.759 0.626
0.873 0.241 0.374
0.873 0.759 0.874
0.388 0.241 0.877
0.388 0.759 0.377
0.612 0.241 0.623
0.612 0.759 0.123
0.196 0.248 0.631
0.196 0.752 0.131
0.366 0.178 0.378
0.366 0.822 0.878
0.634 0.178 0.122
0.634 0.822 0.622
0.804 0.248 0.869
0.804 0.752 0.369


Entry 4:
Rb2CaRh (GGA-PBE, relaxed); density of states at the Fermi level = 6.7 states/eV per cell; VASP energy = -2.0446 eV per atom
1.0
0.000 4.165 4.165
4.165 0.000 4.165
4.165 4.165 0.000
Rb Ca Rh
2 1 1
direct
0.250 0.250 0.250
0.750 0.750 0.750
0.000 0.000 0.000
0.500 0.500 0.500


Entry 5:
Tm2In2Ni15 (GGA-PBE, relaxed); density of states at the Fermi level = 25.0 states/eV per cell; VASP energy = -5.5070 eV per atom
1.0
4.217 2.435 4.136
-4.217 2.435 4.136
0.000 -4.869 4.136
Tm In Ni
2 2 15
direct
0.144 0.144 0.144
0.856 0.856 0.856
0.392 0.392 0.392
0.608 0.608 0.608
0.000 0.500 0.500
0.151 0.151 0.662
0.151 0.662 0.151
0.193 0.500 0.807
0.193 0.807 0.500
0.338 0.849 0.849
0.500 0.000 0.500
0.500 0.193 0.807
0.500 0.500 0.000
0.500 0.807 0.193
0.662 0.151 0.151
0.807 0.193 0.500
0.807 0.500 0.193
0.849 0.338 0.849
0.849 0.849 0.338


Entry 6:
NaNdDy4Se8 (GGA-PBE, relaxed); density of states at the Fermi level = 0.0 states/eV per cell; energy relative to the elements, uncorrected = -1.764 eV/atom
1.0
4.233 2.444 7.023
-4.233 2.444 7.023
0.000 -4.888 7.023
Na Nd Dy Se
1 1 4 8
direct
0.000 0.000 0.000
0.632 0.632 0.632
0.113 0.632 0.632
0.253 0.253 0.253
0.632 0.113 0.632
0.632 0.632 0.113
0.380 0.380 0.856
0.380 0.856 0.380
0.385 0.385 0.385
0.405 0.872 0.872
0.856 0.380 0.380
0.866 0.866 0.866
0.872 0.405 0.872
0.872 0.872 0.405